DFT (GGA-PBE) results for a geometry-optimized PaNbN structure.

Geometry as POSCAR:
```
PaNbN
1.0
3.1048 0.0000 0.0000
-1.5524 2.6888 0.0000
0.0000 0.0000 11.8175
Pa Nb N
2 2 2
direct
0.0000 0.0000 0.0000
0.3333 0.6667 0.5000
0.3333 0.6667 0.2390
0.3333 0.6667 0.7610
0.0000 0.0000 0.3516
0.0000 0.0000 0.6484
```

SG = P-6m2 (187)
ΔE_f (raw) = -1.5 eV/f.u.
Energy above the most stable polymorph in this dataset = 0.223 eV per atom
DOS at the Fermi energy = 9.31 states/eV per cell
Final energy = -9.785 eV/atom

---

DFT (GGA-PBE) results for a geometry-optimized GdAsH structure.

Geometry as POSCAR:
```
GdAsH
1.0
-1.5880 1.5880 5.1886
1.5880 -1.5880 5.1886
1.5880 1.5880 -5.1886
Gd As H
1 1 1
direct
0.0000 0.0000 0.0000
0.2891 0.2891 0.0000
0.5659 0.5659 0.0000
```

SG = I4mm (107)
Energy above the most stable polymorph in this dataset = 0.307 eV per atom
DOS at the Fermi energy = 0.95 states/eV per cell
Final energy = -7.834 eV/atom

---

DFT (GGA-PBE) results for a geometry-optimized Tb5NdEr2Sc structure.

Geometry as POSCAR:
```
Tb5NdEr2Sc
1.0
2.7844 -9.8897 0.0000
2.7844 9.8897 0.0000
0.0000 0.0000 10.3821
Tb Nd Er Sc
10 2 4 2
direct
0.0182 0.9818 0.5000
0.2769 0.7231 0.8025
0.2984 0.7016 0.1871
0.3768 0.6232 0.5017
0.4813 0.5187 0.2209
0.5187 0.4813 0.7209
0.6232 0.3768 0.0017
0.7016 0.2984 0.6871
0.7231 0.2769 0.3025
0.9818 0.0182 0.0000
0.4124 0.5876 0.9350
0.5876 0.4124 0.4350
0.1119 0.8881 0.7949
0.1141 0.8859 0.2169
0.8859 0.1141 0.7169
0.8881 0.1119 0.2949
0.1958 0.8042 0.4958
0.8042 0.1958 0.9958
```

SG = Cmc2_1 (36)
Energy of formation = 0.171 eV/atom
DOS at the Fermi energy = 29.38 states/eV per cell
Final energy = -4.648 eV/atom